No. 1
DFT (GGA-PBE) results for a relaxed structure of Li2AsPt.

Calculated values
Energy of formation ... -2.31 eV/f.u.
E_tot ... -16.8 eV for the cell shown

POSCAR file:
```
Li2AsPt
1.0
-2.189 -1.997 -2.680
0.319 -2.337 1.481
-4.013 -1.211 4.179
As Li Pt
1 2 1
Direct
0.500 0.750 0.750
0.000 0.998 0.003
0.000 0.502 0.497
0.500 0.250 0.250
```

No. 2
DFT (GGA-PBE) results for a relaxed structure of LiAsPt.

Calculated values
Energy of formation ... -0.85 eV/f.u.
E_tot ... -13.5 eV for the cell shown

POSCAR file:
```
LiAsPt
1.0
3.055 0.000 0.000
-1.527 2.645 0.000
0.000 0.000 6.163
Pt Li As
1 1 1
Direct
0.333 0.667 0.682
0.667 0.333 0.340
0.000 0.000 0.978
```

Number 1: volume 58.2 Å³ per cell, N(E_F) 1.08 states/eV/cell. Number 2: volume 49.8 Å³ per cell, N(E_F) 0.93 states/eV/cell.